# Rb2SnCl6F

A relaxed structure of Rb2SnCl6F (GGA-PBE, Alexandria via LeMat-Bulk).

Output
Formation energy from raw total energies (kJ per mole of atoms): -121.75
Total energy (eV/atom): -3.15
Size of the total moment (μB/f.u.): 1.0
Theoretical density (Mg/m³): 3.03

Geometry as CIF:
```
data_Rb2SnCl6F
_chemical_formula_sum 'Rb4 Sn2 Cl12 F2'
_cell_length_a 7.928
_cell_length_b 7.928
_cell_length_c 9.094
_cell_angle_alpha 90.00
_cell_angle_beta 90.00
_cell_angle_gamma 90.00
_space_group_name_H-M_alt 'I 4/m m m'
_space_group_IT_number 139
_space_group_name_Hall '-I 4 2'
loop_
_atom_site_label
_atom_site_type_symbol
_atom_site_fract_x
_atom_site_fract_y
_atom_site_fract_z
Rb1 Rb 0.000 0.500 0.250
Sn1 Sn 0.000 0.000 0.000
Cl1 Cl 0.000 0.000 0.264
Cl2 Cl 0.222 0.222 0.000
F1 F 0.000 0.000 0.500
```

***

# RbSnCl2F

A relaxed structure of RbSnCl2F (GGA-PBE, Alexandria via LeMat-Bulk).

Output
Formation energy from raw total energies (kJ per mole of atoms): -169.16
Total energy (eV/atom): -3.86
Size of the total moment (μB/f.u.): 0.0
Theoretical density (Mg/m³): 3.24

Geometry as CIF:
```
data_RbSnCl2F
_chemical_formula_sum 'Rb1 Sn1 Cl2 F1'
_cell_length_a 5.710
_cell_length_b 5.710
_cell_length_c 4.615
_cell_angle_alpha 90.00
_cell_angle_beta 90.00
_cell_angle_gamma 90.00
_space_group_name_H-M_alt 'P 4/m m m'
_space_group_IT_number 123
_space_group_name_Hall '-P 4 2'
loop_
_atom_site_label
_atom_site_type_symbol
_atom_site_fract_x
_atom_site_fract_y
_atom_site_fract_z
Rb1 Rb 0.000 0.000 0.000
Sn1 Sn 0.500 0.500 0.500
Cl1 Cl 0.000 0.500 0.500
F1 F 0.500 0.500 0.000
```

***

# RbSrCl2F

A relaxed structure of RbSrCl2F (GGA-PBE, Alexandria via LeMat-Bulk).

Output
Formation energy from raw total energies (kJ per mole of atoms): -254.71
Total energy (eV/atom): -4.28
Size of the total moment (μB/f.u.): 0.0
Theoretical density (Mg/m³): 2.78

Geometry as CIF:
```
data_RbSrCl2F
_chemical_formula_sum 'Rb1 Sr1 Cl2 F1'
_cell_length_a 5.791
_cell_length_b 5.791
_cell_length_c 4.677
_cell_angle_alpha 90.00
_cell_angle_beta 90.00
_cell_angle_gamma 90.00
_space_group_name_H-M_alt 'P 4/m m m'
_space_group_IT_number 123
_space_group_name_Hall '-P 4 2'
loop_
_atom_site_label
_atom_site_type_symbol
_atom_site_fract_x
_atom_site_fract_y
_atom_site_fract_z
Rb1 Rb 0.000 0.000 0.000
Sr1 Sr 0.500 0.500 0.500
Cl1 Cl 0.000 0.500 0.500
F1 F 0.500 0.500 0.000
```

***

# Rb2TaCl6F

A relaxed structure of Rb2TaCl6F (GGA-PBE, Alexandria via LeMat-Bulk).

Output
Formation energy from raw total energies (kJ per mole of atoms): -151.68
Total energy (eV/atom): -4.25
Size of the total moment (μB/f.u.): 0.1
Theoretical density (Mg/m³): 3.35

Geometry as CIF:
```
data_Rb2TaCl6F
_chemical_formula_sum 'Rb4 Ta2 Cl12 F2'
_cell_length_a 7.448
_cell_length_b 7.448
_cell_length_c 10.415
_cell_angle_alpha 90.00
_cell_angle_beta 90.00
_cell_angle_gamma 90.00
_space_group_name_H-M_alt 'I 4/m m m'
_space_group_IT_number 139
_space_group_name_Hall '-I 4 2'
loop_
_atom_site_label
_atom_site_type_symbol
_atom_site_fract_x
_atom_site_fract_y
_atom_site_fract_z
Rb1 Rb 0.000 0.500 0.250
Ta1 Ta 0.000 0.000 0.000
Cl1 Cl 0.000 0.000 0.228
Cl2 Cl 0.226 0.226 0.000
F1 F 0.000 0.000 0.500
```

***

Volume values (in Å³/cell) by entry order: 571.55; 150.49; 156.84; 577.83.